Record 1
Below is a relaxed structure of Hf2GeOs2, with properties calculated at the PBE-GGA level.

The calculation puts the total moment at 0.00 Bohr magnetons per cell. For the energy of formation from the pure elements, the calculation gives 81 meV/atom. Its density of states at the Fermi level is 1.0332 states/eV/atom. Its energy above the most stable polymorph in this dataset is 222 meV per atom.

The space group is I4/mmm (No. 139) and the conventional cell measures 3.5417, 3.5417 and 15.4882 Å, with angles of 90.00, 90.00 and 90.00 degrees. The inequivalent atoms are Hf at (0.0000, 0.0000, 0.1053), Ge at (0.0000, 0.0000, 0.5000) and Os at (0.0000, 0.5000, 0.2500).

---

Record 2
Below is a relaxed structure of Hf2Ge2Os, with properties calculated at the PBE-GGA level.

The calculation puts the total moment at 0.00 Bohr magnetons per cell. For the energy of formation from the pure elements, the calculation gives -415 meV/atom. Its density of states at the Fermi level is 0.4784 states/eV/atom.

The space group is Cmc2_1 (No. 36) and the conventional cell measures 4.2579, 14.7837 and 5.7475 Å, with angles of 90.00, 90.00 and 90.00 degrees. The inequivalent atoms are Hf at (0.0000, 0.0017, 0.0000), Hf at (0.0000, 0.2019, 0.3006), Ge at (0.0000, 0.1787, 0.7946), Ge at (0.0000, 0.4219, 0.7533) and Os at (0.0000, 0.4008, 0.1988).